Material: Nb8As2C3N3
Method: DFT, PBE
State: relaxed

- Total DFT energy (no corrections): -9.56 eV per atom
- Magnetic moment: 0.000 μB/atom

```
data_Nb8As2C3N3
_chemical_formula_sum 'Nb8 As2 C3 N3'
_cell_length_a 3.2063
_cell_length_b 3.2063
_cell_length_c 22.8304
_cell_angle_alpha 90.00
_cell_angle_beta 90.00
_cell_angle_gamma 120.00
_space_group_name_H-M_alt 'P -3 m 1'
_space_group_IT_number 164
_space_group_name_Hall '-P 3 2"'
loop_
_atom_site_label
_atom_site_fract_x
_atom_site_fract_y
_atom_site_fract_z
_atom_site_occupancy
Nb1 0.0000 0.0000 0.1652 1
Nb2 0.0000 0.0000 0.3350 1
Nb3 0.3333 0.6667 0.0585 1
Nb4 0.3333 0.6667 0.4457 1
As1 0.3333 0.6667 0.2519 1
C1 0.0000 0.0000 0.0000 1
C2 0.3333 0.6667 0.8862 1
N1 0.0000 0.0000 0.5000 1
N2 0.3333 0.6667 0.6103 1
```